First-principles (PBE-GGA) data for a relaxed PrTmGa crystal, as listed in the Open Quantum Materials Database.

Cell: 7.1073 7.1073 7.1073 Å, 90.00 90.00 90.00°
With the nearest neighbours (Å) after each atom.
Space group F-43m (No. 216)
One atom of each set of equivalent atoms:
Pr  0.0000  0.0000  0.0000 (multiplicity 4)  4 Ga 3.08
Tm  0.0000  0.0000  0.5000 (multiplicity 4)  4 Ga 3.08
Ga  0.2500  0.2500  0.2500 (multiplicity 4)  4 Tm 3.08, 4 Pr 3.08

Magnetic moment ... 0.4 μB per cell
Density ... 7.02 Mg/m³
E_tot ... -0.317 Ry per atom


First-principles (PBE-GGA) data for a relaxed RbLuBAu crystal, as listed in the Open Quantum Materials Database.

Cell: 6.8485 6.8485 6.8485 Å, 90.00 90.00 90.00°
With the nearest neighbours (Å) after each atom.
Space group F-43m (No. 216)
One atom of each set of equivalent atoms:
Rb  0.0000  0.0000  0.0000 (multiplicity 4)  4 Lu 2.97, 4 Au 2.97
Lu  0.2500  0.2500  0.2500 (multiplicity 4)  4 Rb 2.97, 4 B 2.97
B  0.0000  0.0000  0.5000 (multiplicity 4)  4 Lu 2.97, 4 Au 2.97
Au  0.2500  0.2500  0.7500 (multiplicity 4)  4 Rb 2.97, 4 B 2.97

Magnetic moment ... 0.0 μB per cell
Density ... 9.68 Mg/m³
E_tot ... -0.216 Ry per atom


First-principles (PBE-GGA) data for a relaxed AgI2 crystal, as listed in the Open Quantum Materials Database.

Cell: 9.6544 9.6544 9.6544 Å, 90.00 90.00 90.00°
With the nearest neighbours (Å) after each atom.
Space group Fd-3m (No. 227, origin choice 2)
One atom of each set of equivalent atoms:
Ag  0.1250  0.1250  0.1250 (multiplicity 8)  12 I 4.00, 4 Ag 4.18
I  0.0000  0.0000  0.5000 (multiplicity 16)  6 I 3.41

Density ... 5.34 Mg/m³
E_tot ... -0.090 Ry per atom


First-principles (PBE-GGA) data for a relaxed SmErSbI2 crystal, as listed in the Open Quantum Materials Database.

Cell: 4.3538 4.3538 11.2563 Å, 90.00 90.00 120.00°
With the nearest neighbours (Å) after each atom.
Space group P3m1 (No. 156)
One atom of each set of equivalent atoms:
Sm  0.0000  0.0000  0.0000 (multiplicity 1)  3 Sb 3.08, 3 I 3.21
Er  0.6667  0.3333  0.6978 (multiplicity 1)  3 Sb 2.99, 3 I 3.16
Sb  0.3333  0.6667  0.8424 (multiplicity 1)  3 Er 2.99, 3 Sm 3.08
I  0.0000  0.0000  0.5281 (multiplicity 1)  3 Er 3.16
I  0.6667  0.3333  0.1778 (multiplicity 1)  3 Sm 3.21

Magnetic moment ... 0.0 μB per cell
Density ... 6.23 Mg/m³
E_tot ... -0.336 Ry per atom


First-principles (PBE-GGA) data for a relaxed RbSiMo crystal, as listed in the Open Quantum Materials Database.

Cell: 6.9666 6.9666 6.9666 Å, 90.00 90.00 90.00°
With the nearest neighbours (Å) after each atom.
Space group F-43m (No. 216)
One atom of each set of equivalent atoms:
Rb  0.0000  0.0000  0.0000 (multiplicity 4)  4 Si 3.02
Si  0.2500  0.2500  0.7500 (multiplicity 4)  4 Mo 3.02, 4 Rb 3.02
Mo  0.0000  0.0000  0.5000 (multiplicity 4)  4 Si 3.02

Magnetic moment ... 12.0 μB per cell
Density ... 4.12 Mg/m³
E_tot ... -0.308 Ry per atom


First-principles (PBE-GGA) data for a relaxed AgH4C2S2N3 crystal, as listed in the Open Quantum Materials Database.

Cell: 3.9593 23.7075 7.7602 Å, 90.00 114.47 90.00°
With the nearest neighbours (Å) after each atom.
Space group P2_1/c (No. 14)
One atom of each set of equivalent atoms:
Ag  0.1286  0.1976  0.0381 (multiplicity 4)  4 S 2.47-2.72
H  0.0070  0.5732  0.7443 (multiplicity 4)  1 N 1.04
H  0.1636  0.5539  0.9757 (multiplicity 4)  1 N 1.05
H  0.2209  0.0960  0.6251 (multiplicity 4)  1 N 1.05
H  0.2432  0.0266  0.6867 (multiplicity 4)  1 N 1.05
C  0.2204  0.0626  0.1805 (multiplicity 4)  1 N 1.19
C  0.4802  0.1908  0.4928 (multiplicity 4)  1 N 1.18
S  0.1069  0.6001  0.4797 (multiplicity 4)  1 C 1.64
S  0.4687  0.2476  0.3672 (multiplicity 4)  1 C 1.65
N  0.0722  0.0623  0.6482 (multiplicity 4)  4 H 1.04-1.05
N  0.4476  0.0337  0.2946 (multiplicity 4)  1 C 1.19
N  0.4842  0.1509  0.5848 (multiplicity 4)  1 C 1.18

Density ... 2.43 Mg/m³
E_tot ... -0.421 Ry per atom


First-principles (PBE-GGA) data for a relaxed MgGaFeRe crystal, as listed in the Open Quantum Materials Database.

Cell: 6.0706 6.0706 6.0706 Å, 90.00 90.00 90.00°
With the nearest neighbours (Å) after each atom.
Space group F-43m (No. 216)
One atom of each set of equivalent atoms:
Mg  0.0000  0.0000  0.0000 (multiplicity 4)  4 Re 2.63, 4 Ga 2.63
Ga  0.2500  0.2500  0.2500 (multiplicity 4)  4 Fe 2.63, 4 Mg 2.63
Fe  0.0000  0.0000  0.5000 (multiplicity 4)  4 Re 2.63, 4 Ga 2.63
Re  0.2500  0.2500  0.7500 (multiplicity 4)  4 Fe 2.63, 4 Mg 2.63

Magnetic moment ... 7.9 μB per cell
Density ... 9.98 Mg/m³
E_tot ... -0.443 Ry per atom


First-principles (PBE-GGA) data for a relaxed KAg3PdO4 crystal, as listed in the Open Quantum Materials Database.

Cell: 5.5203 5.5203 5.5203 Å, 90.00 90.00 90.00°
With the nearest neighbours (Å) after each atom.
Space group P-43m (No. 215)
One atom of each set of equivalent atoms:
K  0.0000  0.0000  0.0000 (multiplicity 1)  4 O 2.68
Ag  0.0000  0.5000  0.5000 (multiplicity 3)  4 O 2.31
Pd  0.5000  0.5000  0.5000 (multiplicity 1)  4 O 2.10
O  0.2805  0.2805  0.2805 (multiplicity 4)  1 Pd 2.10, 3 Ag 2.31

Density ... 5.26 Mg/m³
E_tot ... -0.284 Ry per atom


First-principles (PBE-GGA) data for a relaxed AcScU crystal, as listed in the Open Quantum Materials Database.

Cell: 7.3638 7.3638 7.3638 Å, 90.00 90.00 90.00°
With the nearest neighbours (Å) after each atom.
Space group F-43m (No. 216)
One atom of each set of equivalent atoms:
Ac  0.0000  0.0000  0.0000 (multiplicity 4)  4 Sc 3.19
Sc  0.2500  0.2500  0.2500 (multiplicity 4)  4 Ac 3.19, 4 U 3.19
U  0.0000  0.0000  0.5000 (multiplicity 4)  4 Sc 3.19

Magnetic moment ... 13.4 μB per cell
Density ... 8.48 Mg/m³
Formation energy from the elements ... 1.22 eV/atom


First-principles (PBE-GGA) data for a relaxed UBeGa crystal, as listed in the Open Quantum Materials Database.

Cell: 6.0170 6.0170 6.0170 Å, 90.00 90.00 90.00°
With the nearest neighbours (Å) after each atom.
Space group F-43m (No. 216)
One atom of each set of equivalent atoms:
U  0.0000  0.0000  0.0000 (multiplicity 4)  4 Be 2.61
Be  0.2500  0.2500  0.7500 (multiplicity 4)  4 U 2.61, 4 Ga 2.61
Ga  0.0000  0.0000  0.5000 (multiplicity 4)  4 Be 2.61

Magnetic moment ... 10.2 μB per cell
Density ... 9.66 Mg/m³
E_tot ... -0.420 Ry per atom


First-principles (PBE-GGA) data for a relaxed TbDy2Ga3Ge2Pd crystal, as listed in the Open Quantum Materials Database.

Cell: 4.2419 12.1835 7.0245 Å, 90.00 90.00 90.00°
With the nearest neighbours (Å) after each atom.
Space group Amm2 (No. 38)
One atom of each set of equivalent atoms:
Tb  0.0000  0.0000  0.0000 (multiplicity 2)  1 Pd 2.89, 4 Ge 3.01
Dy  0.0000  0.2050  0.3848 (multiplicity 4)  1 Pd 2.88, 4 Ge 3.00
Ga  0.5000  0.0000  0.3521 (multiplicity 2)  2 Pd 2.69, 2 Ge 2.75, 2 Ga 2.89
Ga  0.5000  0.1189  0.7082 (multiplicity 4)  2 Pd 2.70, 2 Ge 2.74, 2 Ga 2.89-2.90
Ge  0.5000  0.1673  0.0898 (multiplicity 4)  3 Ga 2.74-2.75, 4 Dy 3.00, 2 Tb 3.01
Pd  0.0000  0.0000  0.5885 (multiplicity 2)  6 Ga 2.69-2.70, 2 Dy 2.88, 1 Tb 2.89

Magnetic moment ... 0.0 μB per cell
Density ... 8.64 Mg/m³
E_tot ... -0.363 Ry per atom


First-principles (PBE-GGA) data for a relaxed MgCdTeO crystal, as listed in the Open Quantum Materials Database.

Cell: 2.9418 18.8182 5.7043 Å, 90.00 90.00 90.00°
With the nearest neighbours (Å) after each atom.
Space group Cmcm (No. 63)
One atom of each set of equivalent atoms:
Mg  0.0000  0.0122  0.2500 (multiplicity 4)  4 O 2.06
Cd  0.0000  0.3506  0.2500 (multiplicity 4)  2 Te 2.91, 2 Cd 2.94, 2 O 3.15
Te  0.0000  0.3196  0.7500 (multiplicity 4)  2 Cd 2.91, 2 Te 2.94
O  0.0000  0.5000  0.0000 (multiplicity 4)  4 Mg 2.06

Density ... 5.90 Mg/m³
E_tot ... -0.276 Ry per atom


Question: Look up the density of the tenth one.
Answer: 9.66 Mg/m³